Entry 1:
VASP calculation (PBE-GGA) on a geometry-optimized CrNiPt structure.

The structure in extended XYZ format:
```
3
Lattice="-3.8644 -1.3413 1.9508 -0.4669 -4.2699 1.4451 2.4141 3.8236 0.3009" Properties=species:S:1:pos:R:3 pbc="T T T"
Pt -2.8829 -3.7347 2.2603
Cr -4.3087 -5.5818 3.3782
Ni -1.4711 -1.9058 1.1534
```

Values from the calculation:
- calculated density (Mg/m³) = 13.335
- calculated volume (Å³ per cell) = 38
- magnetization (μB/f.u.) = 0.00
- energy of formation from the pure elements (eV per atom) = -0.1532
- D(E_F) (states/eV/cell) = 2.9

Entry 2:
VASP calculation (PBE-GGA) on a geometry-optimized MgZn2Au structure.

The structure in extended XYZ format:
```
4
Lattice="4.2284 0.0000 0.0000 0.0000 3.0813 0.0207 0.0000 1.5184 5.3211" Properties=species:S:1:pos:R:3 pbc="T T T"
Zn 2.1142 1.7431 1.1929
Zn 0.0000 0.1848 0.2308
Mg 2.1142 3.2530 3.8035
Au 0.0000 1.7187 2.7855
```

Values from the calculation:
- calculated density (Mg/m³) = 8.449
- calculated volume (Å³ per cell) = 69
- magnetization (μB/f.u.) = 0.00
- energy of formation from the pure elements (eV per atom) = -0.2296
- D(E_F) (states/eV/cell) = 0.8

Repeat the first record exactly.
VASP calculation (PBE-GGA) on a geometry-optimized CrNiPt structure.

The structure in extended XYZ format:
```
3
Lattice="-3.8644 -1.3413 1.9508 -0.4669 -4.2699 1.4451 2.4141 3.8236 0.3009" Properties=species:S:1:pos:R:3 pbc="T T T"
Pt -2.8829 -3.7347 2.2603
Cr -4.3087 -5.5818 3.3782
Ni -1.4711 -1.9058 1.1534
```

Values from the calculation:
- calculated density (Mg/m³) = 13.335
- calculated volume (Å³ per cell) = 38
- magnetization (μB/f.u.) = 0.00
- energy of formation from the pure elements (eV per atom) = -0.1532
- D(E_F) (states/eV/cell) = 2.9